DFT (PBE-GGA) results for a relaxed KAl2In crystal.

```
4
Lattice="-4.496 3.529 -2.312 2.386 -4.649 -3.867 -2.108 -2.059 0.254" Properties=species:S:1:pos:R:3 pbc="T T T"
In 0.139 -3.354 -1.806
Al 0.000 0.000 0.000
K -1.055 -0.560 -3.089
Al -3.302 0.735 -1.029
```

Properties
* magnetic moment: 0.000 Bohr magnetons per cell
* E_tot: -2.48 eV/atom
* energy of formation from the pure elements: 0.35 eV per atom